No. 1
VASP calculation (PBE) on a relaxed structure of AcPmScSn.

Cell: 5.482 5.482 5.482 Å, 60.00 60.00 60.00°
Fractional coordinates of all 4 atoms:
Ac: 0.000 0.000 0.000
Pm: 0.750 0.750 0.750
Sc: 0.250 0.250 0.250
Sn: 0.500 0.500 0.500

DFT total energy = -19.8 eV per cell
formation enthalpy at 0 K = -0.162 eV per atom



No. 2
VASP calculation (PBE) on a relaxed structure of Ac2PmScTe6.

Cell: 7.522 8.446 13.395 Å, 90.00 123.06 90.00°
Fractional coordinates of all 20 atoms:
Ac: 0.198 0.113 0.246
Ac: 0.198 0.387 0.746
Ac: 0.802 0.613 0.254
Ac: 0.802 0.887 0.754
Pm: 0.500 0.000 0.000
Pm: 0.500 0.500 0.500
Sc: 0.000 0.000 0.500
Sc: 0.000 0.500 0.000
Te: 0.096 0.189 0.937
Te: 0.096 0.311 0.437
Te: 0.263 0.673 0.937
Te: 0.263 0.827 0.437
Te: 0.375 0.032 0.739
Te: 0.375 0.468 0.239
Te: 0.625 0.532 0.761
Te: 0.625 0.968 0.261
Te: 0.737 0.173 0.563
Te: 0.737 0.327 0.063
Te: 0.904 0.689 0.563
Te: 0.904 0.811 0.063

DFT total energy = -105.6 eV per cell
E_form (uncorrected) = -1.46 eV/atom



No. 3
VASP calculation (PBE) on a relaxed structure of AcPmScTe3.

Cell: 9.263 4.439 10.077 Å, 90.00 106.02 90.00°
Fractional coordinates of all 12 atoms:
Ac: 0.184 0.250 0.231
Ac: 0.816 0.750 0.769
Pm: 0.339 0.750 0.851
Pm: 0.661 0.250 0.149
Sc: 0.092 0.250 0.596
Sc: 0.908 0.750 0.404
Te: 0.100 0.250 0.883
Te: 0.244 0.750 0.505
Te: 0.433 0.750 0.180
Te: 0.567 0.250 0.820
Te: 0.756 0.250 0.495
Te: 0.900 0.750 0.117

DFT total energy = -64.6 eV per cell
E_form (uncorrected) = -1.28 eV/atom